DFT (GGA-PBE) results for an optimized crystal structure of Rb3U3NiS8.

As for the symmetry: No. 12. The total energy comes out at -6.234 eV/atom. The calculation puts the total magnetization at 7.00 μB/f.u.

abc: 8.042 8.042 9.210
angles: 118.25 118.25 56.36
Element x y z (fractional)
Rb (0.000, 0.000, 0.000)
Rb (0.000, 0.500, 0.000)
Rb (0.500, 0.000, 0.000)
U (0.000, 0.500, 0.500)
U (0.500, 0.000, 0.500)
U (0.500, 0.500, 0.500)
Ni (0.000, 0.000, 0.500)
S (0.197, 0.758, 0.661)
S (0.242, 0.803, 0.339)
S (0.270, 0.270, 0.303)
S (0.286, 0.286, 0.726)
S (0.714, 0.714, 0.274)
S (0.730, 0.730, 0.697)
S (0.758, 0.197, 0.661)
S (0.803, 0.242, 0.339)

---

DFT (GGA-PBE) results for an optimized crystal structure of FeTe3Ir.

The calculation puts the energy relative to the lowest polymorph listed for this composition at 0.00 eV/f.u. As for the symmetry: No. 221. The calculation puts the total magnetization at 1.28 μB/f.u.

abc: 4.871 4.871 4.871
angles: 90.00 90.00 90.00
Element x y z (fractional)
Fe (0.000, 0.000, 0.000)
Te (0.000, 0.000, 0.500)
Te (0.000, 0.500, 0.000)
Te (0.500, 0.000, 0.000)
Ir (0.500, 0.500, 0.500)